(1)
The following is a PBE calculation of a geometry-optimized PrHo2Tm5Th structure, from Alexandria via LeMat-Bulk.

Density of states at the Fermi level = 22.9 states/eV per cell
E_form = 0.315 eV per atom
Uncorrected energy = -0.167 Ha/atom

Geometry as extended XYZ:
```
18
Lattice="-4.3528 4.3528 7.4896 4.3528 -4.3528 7.4896 4.3528 4.3528 -7.4896" Properties=species:S:1:pos:R:3 pbc="T T T"
Pr 4.3528 0.0000 3.7448
Pr 0.0000 4.3528 3.7448
Ho 5.3542 1.0015 0.0000
Ho 1.0015 3.3513 0.0000
Ho 3.3513 1.0015 7.4896
Ho -1.0015 3.3513 7.4896
Tm 0.0000 0.0000 0.0000
Tm 2.5453 1.8075 -2.0251
Tm 2.5453 -1.8075 5.4645
Tm 2.5453 1.8075 2.0251
Tm 2.5453 -1.8075 9.5147
Tm 0.0000 0.0000 7.4896
Tm 1.8075 6.1603 -2.0251
Tm 1.8075 2.5453 5.4645
Tm 1.8075 6.1603 2.0251
Tm 1.8075 2.5453 9.5147
Th 0.0000 0.0000 3.7448
Th 0.0000 0.0000 11.2344
```

***

(2)
The following is a PBE calculation of a geometry-optimized PrHo6Tm3Th2 structure, from Alexandria via LeMat-Bulk.

Density of states at the Fermi level = 17.8 states/eV per cell
E_form = 0.038 eV per atom
Uncorrected energy = -0.184 Ha/atom

Geometry as extended XYZ:
```
12
Lattice="3.0789 -5.3255 0.0000 3.0789 5.3255 0.0000 -2.0551 0.0000 11.5093" Properties=species:S:1:pos:R:3 pbc="T T T"
Pr 0.0000 0.0000 0.0000
Ho 1.0473 1.7995 2.8860
Ho 0.0203 0.0000 8.6240
Ho 1.0473 -1.7995 2.8860
Ho 3.0554 1.7995 8.6234
Ho 4.0824 0.0000 2.8853
Ho 3.0554 -1.7995 8.6234
Tm 2.0514 3.5531 5.7547
Tm 2.0514 0.0000 5.7547
Tm 2.0514 -3.5531 5.7547
Th 3.0789 1.7768 0.0000
Th 3.0789 -1.7768 0.0000
```

***

(3)
The following is a PBE calculation of a geometry-optimized PrHoTm5Th2 structure, from Alexandria via LeMat-Bulk.

Density of states at the Fermi level = 24.1 states/eV per cell
E_form = 0.338 eV per atom
Uncorrected energy = -0.178 Ha/atom

Geometry as extended XYZ:
```
18
Lattice="-4.3532 4.3532 7.6869 4.3532 -4.3532 7.6869 4.3532 4.3532 -7.6869" Properties=species:S:1:pos:R:3 pbc="T T T"
Pr 4.3532 0.0000 3.8434
Pr 0.0000 4.3532 3.8434
Ho 0.0000 0.0000 3.8434
Ho 0.0000 0.0000 11.5303
Tm 0.0000 0.0000 0.0000
Tm 6.1687 1.8156 -2.1468
Tm 1.8156 2.5376 -2.1468
Tm 6.1687 1.8156 2.1468
Tm 1.8156 2.5376 2.1468
Tm 0.0000 0.0000 7.6869
Tm 2.5376 1.8156 5.5401
Tm -1.8156 2.5376 5.5401
Tm 2.5376 1.8156 9.8337
Tm -1.8156 2.5376 9.8337
Th 3.3145 1.0387 0.0000
Th 3.3145 -1.0387 7.6869
Th 1.0387 5.3919 0.0000
Th 1.0387 3.3145 7.6869
```

***

(4)
The following is a PBE calculation of a geometry-optimized PrHo6Tm2Th3 structure, from Alexandria via LeMat-Bulk.

Density of states at the Fermi level = 17.6 states/eV per cell
E_form = 0.023 eV per atom
Uncorrected energy = -0.193 Ha/atom

Geometry as extended XYZ:
```
12
Lattice="3.0800 -5.3355 0.0000 3.0800 5.3355 0.0000 -2.0586 0.0000 11.5198" Properties=species:S:1:pos:R:3 pbc="T T T"
Pr 0.0000 0.0000 0.0000
Ho 1.0292 1.7834 2.9276
Ho 0.0016 0.0000 8.5941
Ho 1.0292 -1.7834 2.9276
Ho 3.0721 1.7834 8.5922
Ho 4.0997 0.0000 2.9257
Ho 3.0721 -1.7834 8.5922
Tm 3.0800 1.7806 0.0000
Tm 3.0800 -1.7806 0.0000
Th 2.0506 3.5615 5.7599
Th 2.0506 0.0000 5.7599
Th 2.0506 -3.5615 5.7599
```

***

(5)
The following is a PBE calculation of a geometry-optimized Pr2Ho2TmTh2 structure, from Alexandria via LeMat-Bulk.

Density of states at the Fermi level = 21.6 states/eV per cell
E_form = 0.170 eV per atom
Uncorrected energy = -0.193 Ha/atom

Geometry as extended XYZ:
```
14
Lattice="17.8039 0.0000 0.0000 0.0000 3.4832 0.0000 -3.9480 0.0000 7.5576" Properties=species:S:1:pos:R:3 pbc="T T T"
Pr 1.0944 0.0000 2.8012
Pr 3.8595 1.7416 4.7564
Pr 9.9964 1.7416 2.8012
Pr 12.7615 0.0000 4.7564
Ho 0.5752 1.7416 6.0487
Ho 4.3788 0.0000 1.5089
Ho 9.4771 0.0000 6.0487
Ho 13.2807 1.7416 1.5089
Tm -1.9740 1.7416 3.7788
Tm 6.9280 0.0000 3.7788
Th -2.4036 0.0000 6.8240
Th 7.3575 1.7416 0.7336
Th 6.4984 1.7416 6.8240
Th 16.2595 0.0000 0.7336
```

***

(6)
The following is a PBE calculation of a geometry-optimized Pr2HoTmTh structure, from Alexandria via LeMat-Bulk.

Density of states at the Fermi level = 14.1 states/eV per cell
E_form = 0.326 eV per atom
Uncorrected energy = -0.179 Ha/atom

Geometry as extended XYZ:
```
10
Lattice="9.1185 0.0000 0.0000 0.0000 6.3340 0.0000 -2.1221 0.0000 6.0812" Properties=species:S:1:pos:R:3 pbc="T T T"
Pr 0.9611 1.2086 2.0637
Pr -0.1000 5.1254 5.1043
Pr 7.0963 1.2086 0.9769
Pr 6.0352 5.1254 4.0176
Ho -1.5916 2.0978 4.5609
Ho -0.5305 4.2362 1.5203
Tm 2.9676 0.0312 4.5609
Tm 4.0287 6.3028 1.5203
Th 4.5592 3.1670 0.0000
Th 3.4982 3.1670 3.0406
```

***

(7)
The following is a PBE calculation of a geometry-optimized Pr3HoTm6Th2 structure, from Alexandria via LeMat-Bulk.

Density of states at the Fermi level = 15.3 states/eV per cell
E_form = 0.020 eV per atom
Uncorrected energy = -0.185 Ha/atom

Geometry as extended XYZ:
```
12
Lattice="3.0910 -5.3517 0.0000 3.0910 5.3517 0.0000 -2.0658 0.0000 11.5356" Properties=species:S:1:pos:R:3 pbc="T T T"
Pr 0.0000 0.0000 0.0000
Pr 3.0910 1.7770 0.0000
Pr 3.0910 -1.7770 0.0000
Ho 2.0581 0.0000 5.7678
Tm 1.0170 1.8057 2.9507
Tm -0.0298 0.0000 8.5890
Tm 1.0170 -1.8057 2.9507
Tm 3.0992 1.8057 8.5848
Tm 4.1460 0.0000 2.9466
Tm 3.0992 -1.8057 8.5848
Th 2.0581 3.5689 5.7678
Th 2.0581 -3.5689 5.7678
```

***

(8)
The following is a PBE calculation of a geometry-optimized Pr6HoTm2Th structure, from Alexandria via LeMat-Bulk.

Density of states at the Fermi level = 28.2 states/eV per cell
E_form = 0.140 eV per atom
Uncorrected energy = -0.177 Ha/atom

Geometry as extended XYZ:
```
20
Lattice="4.7235 -7.5543 0.0000 4.7235 7.5543 0.0000 -1.3242 0.0000 9.6480" Properties=species:S:1:pos:R:3 pbc="T T T"
Pr 2.4829 4.2849 1.8203
Pr 3.3725 4.9447 5.3841
Pr 4.0881 4.9447 9.0879
Pr 3.3320 1.6215 3.6879
Pr 6.3019 4.2849 3.0037
Pr 5.4528 1.6215 1.1360
Pr 2.6699 -1.6215 8.5119
Pr 1.8208 -4.2849 6.6443
Pr 4.7907 -1.6215 5.9600
Pr 4.0346 -4.9447 0.5601
Pr 4.7502 -4.9447 4.2639
Pr 5.6398 -4.2849 7.8276
Ho 3.7303 1.3713 7.2360
Ho 4.3924 -1.3713 2.4120
Tm 2.2457 0.6777 0.5044
Tm 1.5836 -0.6777 5.3284
Tm 6.5391 0.6777 4.3196
Tm 5.8770 -0.6777 9.1436
Th 4.3924 7.0839 2.4120
Th 3.7303 -7.0839 7.2360
```

***

Which value of uncorrected energy does entry 8 give? -0.177 Ha/atom

***

The lowest E_form belongs to which entry? Pr3HoTm6Th2